No. 1
Entry from Alexandria: crystalline LaCe2Er3P6 at its relaxed geometry (PBE).

Summary:
Formation energy from the elements: -1.56 eV/atom
Total moment: 0.0793 μB per atom
ρ: 6.48 g/cm3
DOS(E_F): 0.85 states/eV per atom

a b c (Å): 7.038 12.189 7.012
angles (deg): 90.00 109.55 90.00
Space group C2/m (No. 12)
Inequivalent atoms, fractional coordinates:
La1 0.000 0.000 0.000 [2 per cell]
Ce1 0.000 0.333 0.000 [4 per cell]
Er1 0.000 0.165 0.500 [4 per cell]
Er2 0.000 0.500 0.500 [2 per cell]
P1 0.243 0.330 0.741 [8 per cell]
P2 0.246 0.500 0.259 [4 per cell]

---

No. 2
Entry from Alexandria: crystalline La2CeErP4 at its relaxed geometry (PBE).

Summary:
Formation energy from the elements: -1.56 eV/atom
Total moment: 0.0540 μB per atom
ρ: 5.83 g/cm3
DOS(E_F): 0.69 states/eV per atom

a b c (Å): 7.165 4.149 7.201
angles (deg): 90.00 109.38 90.00
Space group P2/m (No. 10)
Inequivalent atoms, fractional coordinates:
La1 0.000 0.000 0.000 [1 per cell]
La2 0.500 0.500 0.000 [1 per cell]
Ce1 0.000 0.500 0.500 [1 per cell]
Er1 0.500 0.000 0.500 [1 per cell]
P1 0.247 0.000 0.735 [2 per cell]
P2 0.256 0.500 0.266 [2 per cell]

---

No. 3
Entry from Alexandria: crystalline LaCe2ErP4 at its relaxed geometry (PBE).

Summary:
Formation energy from the elements: -1.53 eV/atom
Total moment: 0.1296 μB per atom
ρ: 6.02 g/cm3
DOS(E_F): 1.20 states/eV per atom

a b c (Å): 7.105 4.107 7.118
angles (deg): 90.00 109.46 90.00
Space group P2/m (No. 10)
Inequivalent atoms, fractional coordinates:
La1 0.000 0.000 0.000 [1 per cell]
Ce1 0.500 0.000 0.500 [1 per cell]
Ce2 0.500 0.500 0.000 [1 per cell]
Er1 0.000 0.500 0.500 [1 per cell]
P1 0.250 0.000 0.742 [2 per cell]
P2 0.257 0.500 0.261 [2 per cell]

---

No. 4
Entry from Alexandria: crystalline LaCeErPa at its relaxed geometry (PBE).

Summary:
Formation energy from the elements: 0.40 eV/atom
Total moment: 0.8798 μB per atom
ρ: 9.27 g/cm3
DOS(E_F): 3.55 states/eV per atom

a b c (Å): 7.858 7.858 7.858
angles (deg): 90.00 90.00 90.00
Space group F-43m (No. 216)
Inequivalent atoms, fractional coordinates:
La1 0.000 0.000 0.000 [4 per cell]
Ce1 0.000 0.000 0.500 [4 per cell]
Er1 0.250 0.250 0.250 [4 per cell]
Pa1 0.250 0.250 0.750 [4 per cell]

---

No. 5
Entry from Alexandria: crystalline LaCe2ErPb4 at its relaxed geometry (PBE).

Summary:
Formation energy from the elements: -0.40 eV/atom
Total moment: 0.2464 μB per atom
ρ: 9.42 g/cm3
DOS(E_F): 2.09 states/eV per atom

a b c (Å): 5.2809 5.2809 30.9848
angles (deg): 90.00 90.00 120.00
Space group R-3m (No. 166, hexagonal axes)
Inequivalent atoms, fractional coordinates:
La1 0.0000 0.0000 0.0000 [3 per cell]
Ce1 0.0000 0.0000 0.2446 [6 per cell]
Er1 0.0000 0.0000 0.5000 [3 per cell]
Pb1 0.0000 0.0000 0.1275 [6 per cell]
Pb2 0.0000 0.0000 0.3784 [6 per cell]

---

No. 6
Entry from Alexandria: crystalline La5CePmEr2 at its relaxed geometry (PBE).

Summary:
Formation energy from the elements: 0.28 eV/atom
Total moment: 0.1411 μB per atom
ρ: 6.82 g/cm3
DOS(E_F): 1.87 states/eV per atom

a b c (Å): 8.285 8.285 9.321
angles (deg): 90.00 90.00 90.00
Space group P4/mbm (No. 127)
Inequivalent atoms, fractional coordinates:
La1 0.000 0.000 0.000 [2 per cell]
La2 0.190 0.310 0.272 [8 per cell]
Ce1 0.000 0.500 0.500 [2 per cell]
Pm1 0.000 0.000 0.500 [2 per cell]
Er1 0.129 0.629 0.000 [4 per cell]